{"formula": "CrReTc2", "functional": "PBE", "state": "relaxed", "cell": [[8.941, 0.000, 0.000], [8.526, 2.693, 0.000], [8.526, 1.314, 2.350]], "species": ["Cr", "Re", "Tc", "Tc"], "fractional_positions": [[0.501, 0.501, 0.501], [0.753, 0.753, 0.753], [0.000, 0.000, 0.000], [0.247, 0.247, 0.247]], "formation_enthalpy_0k_mev_per_atom": 157, "m_tot_mub_per_fu": 0.00}